24
Lattice="5.335 0.000 0.000 0.000 5.600 0.000 0.000 0.000 9.378" Properties=species:S:1:pos:R:3 comment="PBE with a Hubbard U LiFeF4, optimized geometry" n_ef_per_ev_atom=0.000 vol_a3_per_cell=280.2 crystal_system=orthorhombic e_tot_ev_per_cell=-123.1 magnetic_moment_mub_per_cell=19.93 pbc="T T T"
Li 0.472 0.883 1.108
Li 2.195 4.717 5.797
Li 3.140 1.917 8.271
Li 4.862 3.683 3.581
Fe 0.692 3.537 8.228
Fe 1.975 2.063 3.538
Fe 3.359 4.863 1.151
Fe 4.642 0.737 5.840
F 0.301 5.106 7.060
F 0.383 2.213 2.516
F 1.049 0.846 4.855
F 1.308 3.556 4.521
F 1.359 2.044 9.210
F 1.618 4.754 0.165
F 2.284 3.387 7.205
F 2.366 0.494 2.371
F 2.968 3.294 2.318
F 3.050 0.587 6.863
F 3.716 1.954 4.524
F 3.975 4.844 4.858
F 4.027 0.756 0.169
F 4.286 3.645 9.213
F 4.952 5.013 2.173
F 5.034 2.306 7.008